No. 1
The following is a PBE-GGA calculation of a geometry-optimized Na4Pr2Cl9 structure, from the Alexandria database.

Cell lengths 7.2452, 7.2479, 18.9454 Å; angles 89.97, 89.94, 60.05 degrees
Space group P-1 (No. 2)
Asymmetric unit:
Na 0.1658 0.1661 0.4837
Na 0.1655 0.1669 0.6773
Na 0.1671 0.1663 0.9826
Na 0.1681 0.1658 0.1786
Pr 0.4989 0.5019 0.6551
Pr 0.5000 0.4986 0.8451
Cl 0.1450 0.5291 0.9146
Cl 0.1472 0.8254 0.4139
Cl 0.1729 0.4741 0.5857
Cl 0.1740 0.8554 0.0859
Cl 0.1868 0.5005 0.2499
Cl 0.1870 0.8137 0.7504
Cl 0.4710 0.1763 0.0854
Cl 0.4717 0.8547 0.5850
Cl 0.4979 0.1876 0.7496

Computed properties:
Energy relative to the elements, uncorrected, meV/atom: -1989

---

No. 2
The following is a PBE-GGA calculation of a geometry-optimized NaPrCl4 structure, from the Alexandria database.

Cell lengths 12.8866, 8.8629, 8.8609 Å; angles 90.00, 133.39, 90.00 degrees
Space group C2/m (No. 12)
Asymmetric unit:
Na 0.1248 0.0000 0.3751
Pr 0.1248 0.5000 0.8746
Cl 0.0936 0.1846 0.8434
Cl 0.1563 0.5000 0.2219
Cl 0.1565 0.5000 0.5914

Computed properties:
Energy above the most stable polymorph in this dataset, kcal/mol of atoms: 0.43
Energy relative to the elements, uncorrected, meV/atom: -2057

---

No. 3
The following is a PBE-GGA calculation of a geometry-optimized Na3PrCl6 structure, from the Alexandria database.

Cell lengths 7.1298, 7.1298, 19.2434 Å; angles 90.00, 90.00, 120.00 degrees
Space group R3 (No. 146, hexagonal axes)
Asymmetric unit:
Na 0.0000 0.0000 0.0000
Na 0.0000 0.0000 0.2013
Na 0.0000 0.0000 0.7052
Pr 0.0000 0.0000 0.5050
Cl 0.0122 0.3143 0.1018
Cl 0.0353 0.6676 0.2664

Computed properties:
Energy relative to the elements, uncorrected, meV/atom: -1992

---

No. 4
The following is a PBE-GGA calculation of a geometry-optimized Na3PrCl6 structure, from the Alexandria database.

Cell lengths 7.1180, 7.3800, 12.5866 Å; angles 90.00, 123.26, 90.00 degrees
Space group P2_1/c (No. 14)
Asymmetric unit:
Na 0.0000 0.0000 0.0000
Na 0.2124 0.0620 0.7247
Pr 0.5000 0.0000 0.5000
Cl 0.1172 0.1791 0.4450
Cl 0.2320 0.6914 0.4064
Cl 0.4018 0.0866 0.2596

Computed properties:
Energy relative to the elements, uncorrected, meV/atom: -1975

---

No. 5
The following is a PBE-GGA calculation of a geometry-optimized RbNaPr2Cl8 structure, from the Alexandria database.

Cell lengths 6.9589, 8.7652, 6.9767 Å; angles 90.00, 94.35, 90.00 degrees
Space group P2/m (No. 10)
Asymmetric unit:
Rb 0.0000 0.0000 0.0000
Na 0.0000 0.5000 0.0000
Pr 0.5000 0.2560 0.5000
Cl 0.2210 0.2785 0.2077
Cl 0.3134 0.5000 0.6752
Cl 0.3229 0.0000 0.6649

Computed properties:
Energy relative to the elements, uncorrected, meV/atom: -2121

---

No. 6
The following is a PBE-GGA calculation of a geometry-optimized NaPrSCl structure, from the Alexandria database.

Cell lengths 6.8832, 3.9727, 7.7393 Å; angles 90.00, 107.31, 90.00 degrees
Space group Cm (No. 8)
Asymmetric unit:
Na 0.0000 0.0000 0.0000
Pr 0.1864 0.0000 0.5610
S 0.0959 0.5000 0.7886
Cl 0.2654 0.5000 0.2984

Computed properties:
Energy relative to the elements, uncorrected, meV/atom: -1638

---

No. 7
The following is a PBE-GGA calculation of a geometry-optimized NaPrSnCl6 structure, from the Alexandria database.

Cell lengths 6.6300, 6.6300, 12.9061 Å; angles 90.00, 90.00, 90.00 degrees
Space group P4_2nm (No. 102)
Asymmetric unit:
Na 0.0000 0.0000 0.0000
Pr 0.0000 0.0000 0.6664
Sn 0.0000 0.0000 0.3327
Cl 0.1942 0.1942 0.5041
Cl 0.1945 0.1945 0.8293
Cl 0.2024 0.2024 0.1654

Computed properties:
Energy relative to the elements, uncorrected, meV/atom: -1740

---

No. 8
The following is a PBE-GGA calculation of a geometry-optimized NaPrTlCl5 structure, from the Alexandria database.

Cell lengths 8.8802, 13.2146, 10.3007 Å; angles 90.00, 110.84, 90.00 degrees
Space group C2/c (No. 15)
Asymmetric unit:
Na 0.0000 0.1873 0.2500
Pr 0.0000 0.5000 0.0000
Tl 0.0000 0.1349 0.7500
Cl 0.0000 0.4146 0.7500
Cl 0.1224 0.3159 0.1150
Cl 0.1826 0.0565 0.4424

Computed properties:
Energy relative to the elements, uncorrected, meV/atom: -1827

---

No. 9
The following is a PBE-GGA calculation of a geometry-optimized Na2PrTlCl6 structure, from the Alexandria database.

Cell lengths 7.3370, 7.3370, 19.8272 Å; angles 90.00, 90.00, 120.00 degrees
Space group R3 (No. 146, hexagonal axes)
Asymmetric unit:
Na 0.0000 0.0000 0.0000
Na 0.0000 0.0000 0.4885
Pr 0.0000 0.0000 0.6873
Tl 0.0000 0.0000 0.2052
Cl 0.0110 0.3396 0.7528
Cl 0.0250 0.6115 0.2605

Computed properties:
Energy relative to the elements, uncorrected, meV/atom: -1838

---

No. 10
The following is a PBE-GGA calculation of a geometry-optimized NaPrZnCl6 structure, from the Alexandria database.

Cell lengths 6.8017, 6.8017, 12.4216 Å; angles 90.00, 90.00, 120.00 degrees
Space group P-31c (No. 163)
Asymmetric unit:
Na 0.0000 0.0000 0.0000
Pr 0.3333 0.6667 0.2500
Zn 0.3333 0.6667 0.7500
Cl 0.0305 0.3692 0.6324

Computed properties:
Energy relative to the elements, uncorrected, meV/atom: -1744

---

No. 11
The following is a PBE-GGA calculation of a geometry-optimized NaPtCl structure, from the Alexandria database.

Cell lengths 5.0266, 5.6814, 5.7131 Å; angles 93.85, 107.30, 107.31 degrees
Space group P1 (No. 1)
Asymmetric unit:
Na 0.0000 0.0000 0.0000
Na 0.0122 0.4276 0.5784
Pt 0.3829 0.9854 0.5599
Pt 0.8281 0.8765 0.4518
Cl 0.2994 0.6704 0.2427
Cl 0.5469 0.3089 0.8866

Computed properties:
Energy above the most stable polymorph in this dataset, kcal/mol of atoms: 4.75
Energy relative to the elements, uncorrected, meV/atom: -554

---

No. 12
The following is a PBE-GGA calculation of a geometry-optimized NaPtCl structure, from the Alexandria database.

Cell lengths 4.7053, 4.7053, 9.0960 Å; angles 90.00, 90.00, 120.00 degrees
Space group P6_3/mmc (No. 194)
Asymmetric unit:
Na 0.3333 0.6667 0.2500
Pt 0.0000 0.0000 0.0000
Cl 0.0000 0.0000 0.2500

Computed properties:
Energy above the most stable polymorph in this dataset, kcal/mol of atoms: 12.89
Energy relative to the elements, uncorrected, meV/atom: -201

---

> Which of these has the highest energy relative to the elements, uncorrected?

number 12

---

> Among the records above, which one has the highest energy relative to the elements, uncorrected?

number 12